A plane-wave DFT calculation with PBE was carried out for a geometry-optimized La2ZnSbF structure.

a b c (Å): 5.727 5.727 4.301
angles (deg): 90.00 90.00 90.00
Space group P4/mmm (No. 123)
Asymmetric unit:
La1 0.000 0.500 0.000 [2 per cell]
Zn1 0.000 0.000 0.000 [1 per cell]
Sb1 0.500 0.500 0.500 [1 per cell]
F1 0.000 0.000 0.500 [1 per cell]

Calculated values
Energy ... -4.26 eV per atom
M_tot ... 0.615 μB per formula unit
ΔE_f (raw) ... -836 meV per atom

---

A plane-wave DFT calculation with PBE was carried out for a geometry-optimized LaZrSbF2 structure.

a b c (Å): 4.560 4.560 5.919
angles (deg): 90.00 90.00 90.00
Space group P4/mmm (No. 123)
Asymmetric unit:
La1 0.000 0.000 0.000 [1 per cell]
Zr1 0.500 0.500 0.000 [1 per cell]
Sb1 0.500 0.500 0.500 [1 per cell]
F1 0.000 0.500 0.500 [2 per cell]

Calculated values
Energy ... -5.10 eV per atom
M_tot ... 0.003 μB per formula unit
ΔE_f (raw) ... -828 meV per atom